The following is a GGA-PBE calculation of an optimized crystal structure of PmPrDy5Er2, from the Alexandria database.

Space group: Cmc2_1, No. 36

a = 10.3364 Å, b = 10.3364 Å, c = 10.5829 Å
α = 90.00°, β = 90.00°, γ = 148.45°
Last column: nearest neighbours and their distance in Å.
Positions (direct):
Pm: 0.2009 0.7991 0.5000  2 Er 3.45-3.69, 8 Dy 3.50-3.77, 2 Pr 3.72
Pm: 0.7991 0.2009 0.0000  2 Er 3.45-3.69, 8 Dy 3.50-3.77, 2 Pr 3.72
Pr: 0.4169 0.5831 0.9362  5 Dy 3.07-3.27
Pr: 0.5831 0.4169 0.4362  5 Dy 3.07-3.27
Dy: 0.0170 0.9830 0.5136  2 Pr 3.21, 2 Er 3.37-3.39, 2 Dy 3.58
Dy: 0.2810 0.7190 0.7985  1 Pr 3.07, 1 Er 3.33, 2 Dy 3.40
Dy: 0.2986 0.7014 0.1966  4 Dy 3.40-3.80, 3 Pm 3.50-3.75, 3 Er 3.51-3.74, 1 Pr 3.62
Dy: 0.3904 0.6096 0.5115  6 Dy 3.45-3.80, 4 Er 3.54-3.58, 1 Pm 3.77
Dy: 0.4776 0.5224 0.2234  2 Pr 3.08-3.27
Dy: 0.5224 0.4776 0.7234  2 Pr 3.08-3.27
Dy: 0.6096 0.3904 0.0115  6 Dy 3.45-3.80, 4 Er 3.54-3.58, 1 Pm 3.77
Dy: 0.7014 0.2986 0.6966  4 Dy 3.40-3.80, 3 Pm 3.50-3.75, 3 Er 3.51-3.74, 1 Pr 3.62
Dy: 0.7190 0.2810 0.2985  1 Pr 3.07, 1 Er 3.33, 2 Dy 3.40
Dy: 0.9830 0.0170 0.0136  2 Pr 3.21, 2 Er 3.37-3.39, 2 Dy 3.58
Er: 0.1109 0.8891 0.2217  7 Dy 3.37-3.74, 1 Pm 3.45, 2 Pr 3.65
Er: 0.1138 0.8862 0.8082  9 Dy 3.33-3.66, 1 Pm 3.69
Er: 0.8862 0.1138 0.3082  9 Dy 3.33-3.66, 1 Pm 3.69
Er: 0.8891 0.1109 0.7217  7 Dy 3.37-3.74, 1 Pm 3.45, 2 Pr 3.65


The following is a GGA-PBE calculation of an optimized crystal structure of PmPr5Dy2Er, from the Alexandria database.

Space group: Cmc2_1, No. 36

a = 10.7000 Å, b = 10.7000 Å, c = 10.7948 Å
α = 90.00°, β = 90.00°, γ = 149.20°
Last column: nearest neighbours and their distance in Å.
Positions (direct):
Pm: 0.1998 0.8002 0.5000  2 Dy 3.44-3.69, 7 Pr 3.53-3.85, 2 Er 3.64
Pm: 0.8002 0.1998 0.0000  2 Dy 3.44-3.69, 7 Pr 3.53-3.85, 2 Er 3.64
Pr: 0.0151 0.9849 0.5090  2 Er 3.31, 3 Dy 3.50-3.61
Pr: 0.2801 0.7199 0.8012  1 Er 3.10, 1 Dy 3.40, 2 Pr 3.44
Pr: 0.2954 0.7046 0.1939  2 Pr 3.44, 1 Er 3.48, 3 Pm 3.53-3.85, 3 Dy 3.58-3.82
Pr: 0.3873 0.6127 0.5137  6 Pr 3.59-3.94, 4 Dy 3.65-3.68, 1 Pm 3.87
Pr: 0.4823 0.5177 0.2351  2 Er 3.27-3.41, 2 Dy 3.56, 2 Pr 3.59-3.60
Pr: 0.5177 0.4823 0.7351  2 Er 3.27-3.41, 2 Dy 3.56, 2 Pr 3.59-3.60
Pr: 0.6127 0.3873 0.0137  6 Pr 3.59-3.94, 4 Dy 3.65-3.68, 1 Pm 3.87
Pr: 0.7046 0.2954 0.6939  2 Pr 3.44, 1 Er 3.48, 3 Pm 3.53-3.85, 3 Dy 3.58-3.82
Pr: 0.7199 0.2801 0.3012  1 Er 3.10, 1 Dy 3.40, 2 Pr 3.44
Pr: 0.9849 0.0151 0.0090  2 Er 3.31, 3 Dy 3.50-3.61
Dy: 0.1112 0.8888 0.2297  1 Pm 3.44, 7 Pr 3.53-3.82, 2 Er 3.75
Dy: 0.1155 0.8845 0.8014  9 Pr 3.40-3.78, 1 Pm 3.69
Dy: 0.8845 0.1155 0.3014  9 Pr 3.40-3.78, 1 Pm 3.69
Dy: 0.8888 0.1112 0.7297  1 Pm 3.44, 7 Pr 3.53-3.82, 2 Er 3.75
Er: 0.4078 0.5922 0.9533  5 Pr 3.10-3.41
Er: 0.5922 0.4078 0.4533  5 Pr 3.10-3.41


The following is a GGA-PBE calculation of an optimized crystal structure of Pm6PrDyEr2, from the Alexandria database.

Space group: C2/c, No. 15

a = 8.9130 Å, b = 8.9130 Å, c = 9.6257 Å
α = 93.46°, β = 93.46°, γ = 116.97°
Last column: nearest neighbours and their distance in Å.
Positions (direct):
Pm: 0.0090 0.5594 0.1837  3 Pm 3.27-3.64, 1 Dy 3.47, 1 Er 3.48, 1 Pr 3.59
Pm: 0.1147 0.7584 0.5558  7 Pm 3.46-3.79, 1 Er 3.54, 2 Pr 3.69-3.80
Pm: 0.2416 0.8853 0.9442  7 Pm 3.46-3.79, 1 Er 3.54, 2 Pr 3.69-3.80
Pm: 0.2940 0.5157 0.3826  4 Pm 3.27-3.61, 3 Er 3.32-3.49, 2 Dy 3.46-3.56
Pm: 0.4406 0.9910 0.3163  3 Pm 3.27-3.64, 1 Dy 3.47, 1 Er 3.48, 1 Pr 3.59
Pm: 0.4843 0.7060 0.1174  4 Pm 3.27-3.61, 3 Er 3.32-3.49, 2 Dy 3.46-3.56
Pm: 0.5157 0.2940 0.8826  4 Pm 3.27-3.61, 3 Er 3.32-3.49, 2 Dy 3.46-3.56
Pm: 0.5594 0.0090 0.6837  3 Pm 3.27-3.64, 1 Dy 3.47, 1 Er 3.48, 1 Pr 3.59
Pm: 0.7060 0.4843 0.6174  4 Pm 3.27-3.61, 3 Er 3.32-3.49, 2 Dy 3.46-3.56
Pm: 0.7584 0.1147 0.0558  7 Pm 3.46-3.79, 1 Er 3.54, 2 Pr 3.69-3.80
Pm: 0.8853 0.2416 0.4442  7 Pm 3.46-3.79, 1 Er 3.54, 2 Pr 3.69-3.80
Pm: 0.9910 0.4406 0.8163  3 Pm 3.27-3.64, 1 Dy 3.47, 1 Er 3.48, 1 Pr 3.59
Pr: 0.0306 0.9694 0.2500  4 Er 3.43-3.51, 6 Pm 3.59-3.80
Pr: 0.9694 0.0306 0.7500  4 Er 3.43-3.51, 6 Pm 3.59-3.80
Dy: 0.4105 0.5895 0.7500  6 Pm 3.46-3.56, 2 Er 3.53
Dy: 0.5895 0.4105 0.2500  6 Pm 3.46-3.56, 2 Er 3.53
Er: 0.2028 0.3009 0.0491  6 Pm 3.32-3.67, 2 Pr 3.43-3.51, 1 Dy 3.53
Er: 0.3009 0.2028 0.5491  6 Pm 3.32-3.67, 2 Pr 3.43-3.51, 1 Dy 3.53
Er: 0.6991 0.7972 0.4509  6 Pm 3.32-3.67, 2 Pr 3.43-3.51, 1 Dy 3.53
Er: 0.7972 0.6991 0.9509  6 Pm 3.32-3.67, 2 Pr 3.43-3.51, 1 Dy 3.53


The following is a GGA-PBE calculation of an optimized crystal structure of Pm3Pr2DyEr6, from the Alexandria database.

Space group: C2/m, No. 12

a = 6.2116 Å, b = 6.2116 Å, c = 11.7687 Å
α = 95.03°, β = 95.03°, γ = 119.98°
Last column: nearest neighbours and their distance in Å.
Positions (direct):
Pm: 0.0000 0.0000 0.0000  6 Er 3.56, 6 Pm 3.58-3.59
Pm: 0.3332 0.6668 0.0000  6 Er 3.56, 6 Pm 3.58-3.59
Pm: 0.6668 0.3332 0.0000  6 Er 3.56, 6 Pm 3.58-3.59
Pr: 0.1665 0.8335 0.5000  6 Er 3.56-3.57, 3 Pr 3.58-3.59, 3 Dy 3.59
Pr: 0.8335 0.1665 0.5000  6 Er 3.56-3.57, 3 Pr 3.58-3.59, 3 Dy 3.59
Dy: 0.5000 0.5000 0.5000  6 Er 3.56, 6 Pr 3.59
Er: 0.0836 0.4164 0.2498  3 Pm 3.56, 1 Dy 3.56, 2 Pr 3.56-3.57, 6 Er 3.58-3.59
Er: 0.2509 0.2509 0.7504  3 Pm 3.56, 1 Dy 3.56, 2 Pr 3.57, 6 Er 3.58-3.59
Er: 0.4164 0.0836 0.2498  3 Pm 3.56, 1 Dy 3.56, 2 Pr 3.56-3.57, 6 Er 3.58-3.59
Er: 0.5836 0.9164 0.7502  3 Pm 3.56, 1 Dy 3.56, 2 Pr 3.56-3.57, 6 Er 3.58-3.59
Er: 0.7491 0.7491 0.2496  3 Pm 3.56, 1 Dy 3.56, 2 Pr 3.57, 6 Er 3.58-3.59
Er: 0.9164 0.5836 0.7502  3 Pm 3.56, 1 Dy 3.56, 2 Pr 3.56-3.57, 6 Er 3.58-3.59


The following is a GGA-PBE calculation of an optimized crystal structure of PmPr4DyEr2, from the Alexandria database.

Space group: P2/m, No. 10

a = 6.2962 Å, b = 3.6497 Å, c = 11.9422 Å
α = 90.00°, β = 100.22°, γ = 90.00°
Last column: nearest neighbours and their distance in Å.
Positions (direct):
Pm: 0.0000 0.0000 0.0000  6 Pr 3.62-3.64, 4 Er 3.64, 2 Pm 3.65
Pr: 0.2508 0.0000 0.7498  3 Er 3.61, 2 Dy 3.61, 1 Pm 3.62, 6 Pr 3.63-3.65
Pr: 0.2513 0.5000 0.2529  3 Er 3.59-3.64, 1 Dy 3.59, 6 Pr 3.63-3.65, 2 Pm 3.64
Pr: 0.7492 0.0000 0.2502  3 Er 3.61, 2 Dy 3.61, 1 Pm 3.62, 6 Pr 3.63-3.65
Pr: 0.7487 0.5000 0.7471  3 Er 3.59-3.64, 1 Dy 3.59, 6 Pr 3.63-3.65, 2 Pm 3.64
Dy: 0.0000 0.5000 0.5000  6 Pr 3.59-3.61, 4 Er 3.64, 2 Dy 3.65
Er: 0.5000 0.0000 0.5000  6 Pr 3.59-3.61, 4 Dy 3.64, 2 Er 3.65
Er: 0.5000 0.5000 0.0000  6 Pr 3.61-3.64, 4 Pm 3.64, 2 Er 3.65


The following is a GGA-PBE calculation of an optimized crystal structure of Pm2PrDyEr4, from the Alexandria database.

Space group: C2/c, No. 15

a = 9.5101 Å, b = 9.5101 Å, c = 6.8034 Å
α = 110.96°, β = 110.96°, γ = 88.38°
Last column: nearest neighbours and their distance in Å.
Positions (direct):
Pm: 0.0000 0.0000 0.0000  6 Er 3.35-3.44, 2 Pm 3.40
Pm: 0.0000 0.0000 0.5000  6 Er 3.35-3.44, 2 Pm 3.40
Pm: 0.0000 0.5000 0.0000  6 Er 3.31-3.41, 2 Pr 3.40
Pm: 0.5000 0.0000 0.5000  6 Er 3.31-3.41, 2 Pr 3.40
Pr: 0.0000 0.5000 0.5000  6 Er 3.32-3.41, 2 Pm 3.40
Pr: 0.5000 0.0000 0.0000  6 Er 3.32-3.41, 2 Pm 3.40
Dy: 0.5000 0.5000 0.0000  6 Er 3.28-3.38, 2 Dy 3.40
Dy: 0.5000 0.5000 0.5000  6 Er 3.28-3.38, 2 Dy 3.40
Er: 0.2527 0.2531 0.0038  3 Pm 3.31-3.44, 1 Pr 3.32, 2 Dy 3.38, 2 Er 3.40
Er: 0.2531 0.2527 0.5038  3 Pm 3.31-3.44, 1 Pr 3.32, 2 Dy 3.38, 2 Er 3.40
Er: 0.2528 0.7472 0.0004  1 Dy 3.28, 3 Pm 3.35-3.41, 2 Er 3.40-3.41, 2 Pr 3.41
Er: 0.2528 0.7472 0.4996  1 Dy 3.28, 3 Pm 3.35-3.41, 2 Er 3.40-3.41, 2 Pr 3.41
Er: 0.7472 0.2528 0.9996  1 Dy 3.28, 3 Pm 3.35-3.41, 2 Er 3.40-3.41, 2 Pr 3.41
Er: 0.7472 0.2528 0.5004  1 Dy 3.28, 3 Pm 3.35-3.41, 2 Er 3.40-3.41, 2 Pr 3.41
Er: 0.7469 0.7473 0.4962  3 Pm 3.31-3.44, 1 Pr 3.32, 2 Dy 3.38, 2 Er 3.40
Er: 0.7473 0.7469 0.9962  3 Pm 3.31-3.44, 1 Pr 3.32, 2 Dy 3.38, 2 Er 3.40


The following is a GGA-PBE calculation of an optimized crystal structure of PmPrDyEr, from the Alexandria database.

Space group: F-43m, No. 216
E above lowest polymorph: 0.000 eV/atom

a = 5.7352 Å, b = 5.7352 Å, c = 5.7352 Å
α = 60.00°, β = 60.00°, γ = 60.00°
Last column: nearest neighbours and their distance in Å.
Positions (direct):
Pm: 0.0000 0.0000 0.0000  4 Er 3.51, 4 Dy 3.51
Pr: 0.5000 0.5000 0.5000  4 Er 3.51, 4 Dy 3.51
Dy: 0.2500 0.2500 0.2500  4 Pr 3.51, 4 Pm 3.51
Er: 0.7500 0.7500 0.7500  4 Pr 3.51, 4 Pm 3.51


The following is a GGA-PBE calculation of an optimized crystal structure of PmPr6Dy2Er, from the Alexandria database.

Space group: C2/c, No. 15

a = 9.0218 Å, b = 9.0218 Å, c = 9.7259 Å
α = 93.76°, β = 93.76°, γ = 117.51°
Last column: nearest neighbours and their distance in Å.
Positions (direct):
Pm: 0.0271 0.9729 0.7500  4 Dy 3.45-3.50, 6 Pr 3.62-3.86
Pm: 0.9729 0.0271 0.2500  4 Dy 3.45-3.50, 6 Pr 3.62-3.86
Pr: 0.0065 0.5635 0.6889  3 Pr 3.33-3.72, 1 Er 3.48, 1 Dy 3.50, 1 Pm 3.62
Pr: 0.1160 0.7605 0.0543  7 Pr 3.49-3.84, 1 Dy 3.54, 2 Pm 3.70-3.86
Pr: 0.2395 0.8840 0.4457  7 Pr 3.49-3.84, 1 Dy 3.54, 2 Pm 3.70-3.86
Pr: 0.2939 0.5113 0.8828  3 Dy 3.33-3.52, 4 Pr 3.33-3.69, 2 Er 3.46-3.59
Pr: 0.4365 0.9935 0.8111  3 Pr 3.33-3.72, 1 Er 3.48, 1 Dy 3.50, 1 Pm 3.62
Pr: 0.4887 0.7061 0.6172  3 Dy 3.33-3.52, 4 Pr 3.33-3.69, 2 Er 3.46-3.59
Pr: 0.5113 0.2939 0.3828  3 Dy 3.33-3.52, 4 Pr 3.33-3.69, 2 Er 3.46-3.59
Pr: 0.5635 0.0065 0.1889  3 Pr 3.33-3.72, 1 Er 3.48, 1 Dy 3.50, 1 Pm 3.62
Pr: 0.7061 0.4887 0.1172  3 Dy 3.33-3.52, 4 Pr 3.33-3.69, 2 Er 3.46-3.59
Pr: 0.7605 0.1160 0.5543  7 Pr 3.49-3.84, 1 Dy 3.54, 2 Pm 3.70-3.86
Pr: 0.8840 0.2395 0.9457  7 Pr 3.49-3.84, 1 Dy 3.54, 2 Pm 3.70-3.86
Pr: 0.9935 0.4365 0.3111  3 Pr 3.33-3.72, 1 Er 3.48, 1 Dy 3.50, 1 Pm 3.62
Dy: 0.2013 0.2988 0.5470  5 Pr 3.33-3.54, 2 Pm 3.45-3.50, 1 Er 3.56
Dy: 0.2988 0.2013 0.0470  5 Pr 3.33-3.54, 2 Pm 3.45-3.50, 1 Er 3.56
Dy: 0.7012 0.7987 0.9530  5 Pr 3.33-3.54, 2 Pm 3.45-3.50, 1 Er 3.56
Dy: 0.7987 0.7012 0.4530  5 Pr 3.33-3.54, 2 Pm 3.45-3.50, 1 Er 3.56
Er: 0.4120 0.5880 0.2500  6 Pr 3.46-3.59, 2 Dy 3.56
Er: 0.5880 0.4120 0.7500  6 Pr 3.46-3.59, 2 Dy 3.56


The following is a GGA-PBE calculation of an optimized crystal structure of Pm2Pr3DyEr6, from the Alexandria database.

Space group: C2/m, No. 12

a = 6.2249 Å, b = 6.2249 Å, c = 11.7753 Å
α = 95.04°, β = 95.04°, γ = 119.99°
Last column: nearest neighbours and their distance in Å.
Positions (direct):
Pm: 0.1665 0.8335 0.0000  6 Er 3.54, 3 Pm 3.59-3.60, 3 Dy 3.59-3.60
Pm: 0.8335 0.1665 0.0000  6 Er 3.54, 3 Pm 3.59-3.60, 3 Dy 3.59-3.60
Pr: 0.0000 0.0000 0.5000  6 Er 3.59, 6 Pr 3.59
Pr: 0.3333 0.6667 0.5000  6 Er 3.59, 6 Pr 3.59
Pr: 0.6667 0.3333 0.5000  6 Er 3.59, 6 Pr 3.59
Dy: 0.5000 0.5000 0.0000  6 Er 3.54, 6 Pm 3.59-3.60
Er: 0.0843 0.4174 0.7525  2 Pm 3.54, 1 Dy 3.54, 3 Pr 3.59, 6 Er 3.59-3.60
Er: 0.2496 0.2496 0.2476  1 Dy 3.54, 2 Pm 3.54, 3 Pr 3.59, 6 Er 3.59-3.60
Er: 0.4174 0.0843 0.7525  2 Pm 3.54, 1 Dy 3.54, 3 Pr 3.59, 6 Er 3.59-3.60
Er: 0.5826 0.9157 0.2475  2 Pm 3.54, 1 Dy 3.54, 3 Pr 3.59, 6 Er 3.59-3.60
Er: 0.7504 0.7504 0.7524  1 Dy 3.54, 2 Pm 3.54, 3 Pr 3.59, 6 Er 3.59-3.60
Er: 0.9157 0.5826 0.2475  2 Pm 3.54, 1 Dy 3.54, 3 Pr 3.59, 6 Er 3.59-3.60


no.,total energy (eV per atom),total magnetic moment (Bohr magnetons per cell)
1,-4.468,0.00
2,-4.573,0.00
3,-4.586,0.00
4,-4.634,0.00
5,-4.684,0.00
6,-4.222,4.58
7,-4.562,0.00
8,-4.606,0.00
9,-4.635,0.00